Record 1
## PuZr2Tl3Se6 (PBE)

Data for a relaxed structure of PuZr2Tl3Se6.

Results
final energy = -5.976 eV/atom
uncorrected formation energy = -1022.8 meV per atom
ρ = 7.62 g/cm3
D(E_F) = 1.1556 states/eV/atom

a b c (Å): 6.928 6.928 8.263
angles (deg): 98.06 98.06 119.98
Site moments in Bohr magnetons follow the coordinates.
Element x y z (fractional)
Pu1 0.000 0.000 0.000  -5.34
Zr1 0.332 0.668 0.000  -0.44
Zr2 0.668 0.332 0.000  -0.44
Tl1 0.160 0.840 0.500  -0.02
Tl2 0.840 0.160 0.500  -0.02
Tl3 0.500 0.500 0.500  -0.02
Se1 0.932 0.581 0.796  0.02
Se2 0.715 0.715 0.199  0.03
Se3 0.068 0.419 0.204  0.02
Se4 0.581 0.932 0.796  0.02
Se5 0.285 0.285 0.801  0.03
Se6 0.419 0.068 0.204  0.02

***

Record 2
## Pu3ZrTl3Se8 (PBE)

Data for a relaxed structure of Pu3ZrTl3Se8.

Results
final energy = -6.932 eV/atom
uncorrected formation energy = -1163.9 meV per atom
ρ = 7.41 g/cm3
D(E_F) = 1.9533 states/eV/atom

a b c (Å): 8.281 8.282 9.154
angles (deg): 116.89 90.00 120.00
Site moments in Bohr magnetons follow the coordinates.
Element x y z (fractional)
Pu1 0.500 0.000 0.500  5.09
Pu2 0.500 0.500 0.500  5.09
Pu3 0.000 0.500 0.500  5.09
Zr1 0.000 0.000 0.500  0.12
Tl1 0.000 0.000 0.000  -0.01
Tl2 0.000 0.500 0.000  -0.01
Tl3 0.500 0.500 0.000  -0.01
Se1 0.265 0.530 0.295  -0.11
Se2 0.735 0.470 0.705  -0.11
Se3 0.776 0.552 0.302  -0.08
Se4 0.224 0.448 0.698  -0.08
Se5 0.775 0.026 0.301  -0.08
Se6 0.225 0.974 0.699  -0.08
Se7 0.251 0.026 0.301  -0.08
Se8 0.749 0.974 0.699  -0.08

***

Record 3
## TmPuSe2 (PBE)

Data for a relaxed structure of TmPuSe2.

Results
final energy = -7.985 eV/atom
uncorrected formation energy = -1541.8 meV per atom
ρ = 9.74 g/cm3
energy relative to the lowest polymorph listed for this composition = 2.08 kcal/mol of atoms
D(E_F) = 1.7340 states/eV/atom

a b c (Å): 3.934 3.934 7.606
angles (deg): 75.01 75.01 60.00
Site moments in Bohr magnetons follow the coordinates.
Element x y z (fractional)
Tm1 0.496 0.496 0.511  -0.13
Pu1 0.671 0.671 0.988  5.45
Se1 0.085 0.085 0.744  -0.04
Se2 0.248 0.248 0.257  -0.04

***

Record 4
## Tm3PuSe6 (PBE)

Data for a relaxed structure of Tm3PuSe6.

Results
final energy = -6.610 eV/atom
uncorrected formation energy = -1744.4 meV per atom
ρ = 7.82 g/cm3
D(E_F) = 1.0968 states/eV/atom

a b c (Å): 4.080 11.519 11.712
angles (deg): 109.17 90.00 90.00
Site moments in Bohr magnetons follow the coordinates.
Element x y z (fractional)
Tm1 0.750 0.435 0.834  0.00
Tm2 0.250 0.565 0.166  0.00
Tm3 0.750 0.680 0.501  0.00
Tm4 0.250 0.320 0.499  0.00
Tm5 0.750 0.158 0.083  0.00
Tm6 0.250 0.842 0.917  0.00
Pu1 0.750 0.046 0.691  5.13
Pu2 0.250 0.954 0.309  5.13
Se1 0.750 0.480 0.615  -0.01
Se2 0.250 0.520 0.385  -0.01
Se3 0.750 0.918 0.098  -0.04
Se4 0.250 0.082 0.902  -0.04
Se5 0.750 0.394 0.062  0.00
Se6 0.250 0.606 0.938  0.00
Se7 0.750 0.741 0.275  -0.04
Se8 0.250 0.259 0.725  -0.04
Se9 0.750 0.117 0.463  -0.10
Se10 0.250 0.883 0.537  -0.10
Se11 0.750 0.804 0.750  -0.04
Se12 0.250 0.196 0.250  -0.04

***

Record 5
## Tm4PuSe5 (PBE)

Data for a relaxed structure of Tm4PuSe5.

Results
final energy = -6.624 eV/atom
uncorrected formation energy = -1659.8 meV per atom
ρ = 9.37 g/cm3
D(E_F) = 0.8308 states/eV/atom

a b c (Å): 4.023 7.029 9.027
angles (deg): 74.89 77.13 73.37
Site moments in Bohr magnetons follow the coordinates.
Element x y z (fractional)
Tm1 0.598 0.199 0.605  0.03
Tm2 0.203 0.397 0.197  0.03
Tm3 0.797 0.603 0.803  0.03
Tm4 0.402 0.801 0.395  0.03
Pu1 0.000 0.000 0.000  5.50
Se1 0.205 0.898 0.693  -0.01
Se2 0.795 0.102 0.307  -0.01
Se3 0.397 0.310 0.897  -0.02
Se4 0.000 0.500 0.500  0.01
Se5 0.603 0.690 0.103  -0.02

***

Record 6
## TmPu3Se4 (PBE)

Data for a relaxed structure of TmPu3Se4.

Results
final energy = -9.255 eV/atom
uncorrected formation energy = -1579.7 meV per atom
ρ = 10.24 g/cm3
D(E_F) = 3.2778 states/eV/atom

a b c (Å): 4.114 7.132 7.132
angles (deg): 109.40 90.00 90.00
Site moments in Bohr magnetons follow the coordinates.
Element x y z (fractional)
Tm1 0.500 0.000 0.000  0.10
Se1 0.000 0.243 0.243  -0.06
Se2 0.500 0.753 0.247  -0.08
Se3 0.000 0.757 0.757  -0.06
Se4 0.500 0.247 0.753  -0.08
Pu1 0.000 0.000 0.500  5.47
Pu2 0.500 0.500 0.500  5.54
Pu3 0.000 0.500 0.000  5.47

***

Record 7
## Tm4Pu3Se8 (PBE)

Data for a relaxed structure of Tm4Pu3Se8.

Results
final energy = -7.608 eV/atom
uncorrected formation energy = -1690.7 meV per atom
ρ = 8.89 g/cm3
D(E_F) = 1.8555 states/eV/atom

a b c (Å): 8.114 8.128 8.128
angles (deg): 90.11 119.80 119.80
Site moments in Bohr magnetons follow the coordinates.
Element x y z (fractional)
Tm1 0.500 0.000 0.000  0.04
Tm2 0.000 0.500 0.000  0.08
Tm3 0.000 0.000 0.000  0.10
Tm4 0.000 0.000 0.500  0.08
Pu1 0.500 0.500 0.000  5.37
Pu2 0.500 0.000 0.500  5.37
Pu3 0.500 0.500 0.500  5.45
Se1 0.497 0.245 0.245  -0.06
Se2 0.000 0.750 0.250  -0.04
Se3 0.991 0.246 0.246  -0.01
Se4 0.500 0.753 0.247  -0.05
Se5 0.500 0.247 0.753  -0.05
Se6 0.009 0.754 0.754  -0.01
Se7 0.000 0.250 0.750  -0.04
Se8 0.503 0.755 0.755  -0.06

***

Record 8
## TmPu5Se6 (PBE)

Data for a relaxed structure of TmPu5Se6.

Results
final energy = -9.646 eV/atom
uncorrected formation energy = -1559.5 meV per atom
ρ = 10.36 g/cm3
D(E_F) = 3.9025 states/eV/atom

a b c (Å): 7.148 7.152 7.150
angles (deg): 59.99 80.40 70.52
Site moments in Bohr magnetons follow the coordinates.
Element x y z (fractional)
Tm1 0.000 0.000 0.000  0.10
Se1 0.754 0.082 0.328  -0.08
Se2 0.246 0.590 0.328  -0.08
Se3 0.249 0.245 0.000  -0.08
Se4 0.751 0.755 0.000  -0.08
Se5 0.754 0.410 0.672  -0.08
Se6 0.246 0.918 0.672  -0.08
Pu1 0.500 0.169 0.663  5.49
Pu2 0.000 0.334 0.332  5.46
Pu3 0.500 0.500 0.000  5.49
Pu4 0.000 0.666 0.668  5.46
Pu5 0.500 0.831 0.337  5.49